BC | GGA-PBE | optimized geometry

```
BC
1.0
6.2227 0.1134 -1.4114
5.6184 2.6776 -1.4114
-0.1096 -0.0258 5.2190
C B
6 6
Cartesian
2.6484 0.6242 3.8412
2.9454 0.6942 1.2059
7.7314 1.8223 2.4171
6.8585 1.6166 1.1443
6.9652 1.6417 -1.5830
10.8350 2.5538 -1.6950
10.5117 2.4776 1.9093
3.9342 0.9273 -0.1164
3.6794 0.8672 2.5904
0.2210 0.0521 2.1909
7.8644 1.8537 -0.1849
0.3563 0.0840 0.1543
```

Output
**Formation energy**: 0.40 eV/atom
**Energy above the most stable polymorph in this dataset**: 0.49 eV per formula unit
**E_tot**: -7.55 eV per atom
**SG**: Cm (8)


BC | GGA-PBE | optimized geometry

```
BC
1.0
2.5669 0.0000 0.0000
-1.2834 2.2230 0.0000
0.0000 0.0000 14.0466
B C
6 6
Cartesian
0.0000 0.0000 7.1659
0.0000 0.0000 5.4657
1.2834 0.7410 11.4879
0.0000 0.0000 12.5111
1.2834 0.7410 4.3753
0.0000 1.4820 2.1811
0.0000 1.4820 7.8619
0.0000 1.4820 9.3719
0.0000 0.0000 0.0524
1.2834 0.7410 2.8305
1.2834 0.7410 9.9061
0.0000 1.4820 0.5348
```

Output
**Formation energy**: 0.43 eV/atom
**Energy above the most stable polymorph in this dataset**: 0.55 eV per formula unit
**E_tot**: -7.52 eV per atom
**SG**: P3m1 (156)


B7C5 | GGA-PBE | optimized geometry

```
B7C5
1.0
6.2881 -0.1296 0.0000
-5.1082 3.6691 0.0000
0.0000 0.0000 3.8185
C B
5 7
Cartesian
1.7616 2.4228 0.8877
-0.5817 1.1167 0.8877
0.0000 0.0000 0.0000
1.1354 0.5443 2.9309
0.0444 2.9952 2.9309
3.1440 -0.0648 0.7067
-3.4928 3.1306 1.9093
4.6726 0.4088 1.9093
0.5899 1.7697 1.9093
2.2191 1.2267 0.0000
-2.5541 1.8346 3.1118
-1.0393 2.3128 0.0000
```

Output
**Formation energy**: 0.46 eV/atom
**Energy above the most stable polymorph in this dataset**: 3.55 eV per formula unit
**E_tot**: -7.28 eV per atom
**SG**: C222 (21)


BC | GGA-PBE | optimized geometry

```
BC
1.0
-2.0205 -2.3527 -5.1427
4.1631 -0.5941 4.2873
-2.3548 -2.2840 1.9701
B C
6 6
Cartesian
0.5984 -2.9005 -0.7893
1.8651 -2.2495 3.6263
0.3668 -1.1883 0.9189
-0.0038 -3.4628 3.1249
-2.2602 -3.1587 -2.3586
-2.3804 -3.8746 -0.1931
0.3154 -2.0101 3.6212
-2.3037 -2.2344 1.9273
-1.5990 -1.7474 -2.0788
-0.1573 -2.6650 0.6001
0.3054 -3.7910 1.5445
-1.6951 -2.5819 0.5552
```

Output
**Formation energy**: 0.28 eV/atom
**Energy above the most stable polymorph in this dataset**: 0.27 eV per formula unit
**E_tot**: -7.67 eV per atom
**SG**: C222 (21)


B3C | GGA-PBE | optimized geometry

```
B3C
1.0
-1.0113 -1.3397 1.8196
4.3496 -0.9748 1.6998
-0.2975 5.6922 4.0256
B C
9 3
Cartesian
3.1060 2.9175 3.8744
1.3820 2.6361 4.3930
1.4789 0.7819 3.0817
0.3295 4.0153 4.8234
1.9029 -1.2096 1.8511
0.5473 -0.1526 1.8759
3.1907 1.2968 2.7282
4.0398 3.8978 5.1151
4.2503 -0.1303 2.2665
0.0238 2.8074 2.0802
3.2058 -0.7185 1.2528
0.2943 1.9636 3.2933
```

Output
**Formation energy**: 0.42 eV/atom
**Energy above the most stable polymorph in this dataset**: 0.71 eV per formula unit
**E_tot**: -6.90 eV per atom
**SG**: Pmm2 (25)


B3C2 | GGA-PBE | optimized geometry

```
B3C2
1.0
-1.5930 0.1779 3.5792
-2.9034 0.6913 -3.4736
0.4922 -4.2677 -1.9776
B C
6 4
Cartesian
-0.9292 -1.3932 0.3645
-3.5842 -0.3686 0.1181
-3.0751 -2.0053 -2.2365
-1.3571 -1.5690 -1.3851
-0.4200 -3.0299 -1.9901
-2.6472 -1.8295 -0.4869
-2.8071 -3.4643 -3.0154
-2.6823 -0.0543 1.4259
-1.3219 -3.3442 -3.2979
-1.1972 0.0658 1.1435
```

Output
**Formation energy**: 0.48 eV/atom
**Energy above the most stable polymorph in this dataset**: 1.32 eV per formula unit
**E_tot**: -7.22 eV per atom
**SG**: P-1 (2)


BC | GGA-PBE | optimized geometry

```
BC
1.0
3.7475 -0.1149 -2.1318
2.9291 2.3404 -2.1318
0.0447 0.0149 8.6430
C B
6 6
Cartesian
4.3408 1.4469 0.2380
5.5301 1.8434 1.1221
6.6136 2.2045 0.1984
4.4623 1.4874 4.0916
1.1538 0.3846 5.3769
0.3154 0.1051 -0.0606
1.1415 0.3805 1.4162
3.8435 1.2812 5.5588
3.1522 1.0507 1.2438
1.9424 0.6475 -0.0992
2.1627 0.7209 4.1983
5.6363 1.8788 -3.4905
```

Output
**Formation energy**: 0.32 eV/atom
**Energy above the most stable polymorph in this dataset**: 0.33 eV per formula unit
**E_tot**: -7.64 eV per atom
**SG**: Cm (8)


BC | GGA-PBE | optimized geometry

```
BC
1.0
-0.5235 -4.6585 1.0632
3.2540 2.7815 -2.1807
0.4139 1.0465 4.3966
B C
5 5
Cartesian
2.4441 -0.1849 1.0291
2.1321 1.5653 2.3054
0.7987 -0.6097 2.5734
2.3493 1.3831 0.4820
2.9356 -0.2682 -0.7729
0.8013 0.8988 3.0040
1.7268 -1.4836 3.5742
0.0280 -0.0245 0.1039
0.9296 -2.3005 0.6325
0.9487 -0.8532 1.0134
```

Output
**Formation energy**: 0.40 eV/atom
**Energy above the most stable polymorph in this dataset**: 0.49 eV per formula unit
**E_tot**: -7.55 eV per atom
**SG**: P1 (1)


BC | GGA-PBE | optimized geometry

```
BC
1.0
0.0871 1.1559 -4.1391
-0.5810 -1.3472 -4.0402
-6.7312 2.0004 5.1560
B C
6 6
Cartesian
-2.9057 0.7114 -1.6250
-2.5070 0.5312 -3.4921
-6.9243 1.7232 -3.1641
-1.0161 0.0020 -6.8131
-1.4210 0.3640 -0.3870
-5.9364 1.5282 -1.4254
-6.0024 1.6098 0.1932
-1.4304 0.2983 -2.1129
-4.7569 1.3566 2.2003
-4.0838 0.9397 -3.8035
-3.9534 0.8449 -5.3224
-4.5900 1.2536 0.7208
```

Output
**Formation energy**: 0.31 eV/atom
**Energy above the most stable polymorph in this dataset**: 0.32 eV per formula unit
**E_tot**: -7.64 eV per atom
**SG**: Cm (8)


B7C5 | GGA-PBE | optimized geometry

```
B7C5
1.0
-2.3127 -3.9763 0.4598
-1.5838 -3.8245 -2.0582
7.7905 -0.4968 2.2254
B C
7 5
Cartesian
0.9563 -1.2095 0.2039
0.1882 -2.7763 -0.1129
5.2618 -4.9812 1.2230
-2.9887 -6.4677 -1.2552
3.5902 -2.5970 0.8828
0.2248 -5.3627 -0.2583
3.5324 -5.6795 0.6802
1.1121 -4.0141 0.0799
4.7381 -1.5304 1.2794
3.8420 -8.2922 0.6123
0.0098 -7.9977 -0.4794
0.9478 -6.8018 -0.1357
```

Output
**Formation energy**: 0.41 eV/atom
**Energy above the most stable polymorph in this dataset**: 2.91 eV per formula unit
**E_tot**: -7.33 eV per atom
**SG**: Cm (8)


BC | GGA-PBE | optimized geometry

```
BC
1.0
-1.6145 -4.3451 1.5587
1.0789 -4.6548 -0.8769
3.3656 2.3864 3.5650
C B
6 6
Cartesian
0.7444 -5.3105 1.5803
2.0122 -1.5177 2.6460
2.4755 -3.8971 3.4455
-0.6937 -5.7357 1.2980
2.8536 -2.7673 2.4794
0.5795 -1.8630 2.3444
2.1987 -0.6814 4.0397
1.2280 -4.0691 0.6810
3.3095 2.1909 3.4628
0.9308 -4.6205 3.1371
1.1589 -7.6066 2.5010
0.5185 -2.4548 0.8659
```

Output
**Formation energy**: 0.40 eV/atom
**Energy above the most stable polymorph in this dataset**: 0.50 eV per formula unit
**E_tot**: -7.55 eV per atom
**SG**: P1 (1)


B3C | GGA-PBE | optimized geometry

```
B3C
1.0
-2.3525 -3.9454 2.6758
0.2168 -3.9077 3.5977
-2.3294 2.2157 6.4015
B C
9 3
Cartesian
-2.8958 -4.3314 8.2479
-3.4003 -5.2992 9.6934
-2.1983 -6.2077 6.3807
-2.0233 -2.7041 5.7496
-1.6840 -5.4075 4.9146
-0.0545 -0.0863 0.1555
-0.9484 -3.1362 2.7716
-2.6719 -0.5473 7.4690
-1.5193 -1.8057 4.3082
-0.3891 -1.1560 1.1318
-1.5907 -0.0680 4.4360
-1.2029 0.9010 3.3156
```

Output
**Formation energy**: 0.48 eV/atom
**Energy above the most stable polymorph in this dataset**: 0.95 eV per formula unit
**E_tot**: -6.84 eV per atom
**SG**: Cm (8)